1.
Material: KGa2CoSn
Method: DFT, PBE
State: optimized geometry

## Properties
ΔH_f (0 K) ... -0.07 eV per atom
VASP energy ... -3.718 eV per atom
Space-group type ... P4/mmm, No. 123

Unit cell a=4.735 b=4.735 c=4.996 alpha=90.00 beta=90.00 gamma=90.00
Fractional coordinates of all 5 atoms:
Sn (0.000, 0.000, 0.500)
K (0.500, 0.500, 0.500)
Ga (0.000, 0.500, 0.000)
Ga (0.500, 0.000, 0.000)
Co (0.000, 0.000, 0.000)

=====

2.
Material: KGaCoSn2
Method: DFT, PBE
State: optimized geometry

## Properties
ΔH_f (0 K) ... 0.00 eV per atom
VASP energy ... -3.847 eV per atom
Space-group type ... P4/mmm, No. 123

Unit cell a=5.048 b=5.048 c=4.749 alpha=90.00 beta=90.00 gamma=90.00
Fractional coordinates of all 5 atoms:
Sn (0.000, 0.500, 0.000)
Sn (0.500, 0.000, 0.000)
K (0.500, 0.500, 0.500)
Ga (0.000, 0.000, 0.500)
Co (0.000, 0.000, 0.000)